1.
This record from the Alexandria database describes a geometry-optimized PrScGe2Rh structure. The functional is PBE.

```
PrScGe2Rh
1.0
-3.505 -2.068 1.006
0.744 -2.754 -3.072
4.375 -0.877 4.706
Pr Ge Sc Rh
1 2 1 1
direct
0.000 0.000 0.000 Pr
0.610 0.610 0.219 Ge
0.390 0.390 0.781 Ge
0.250 0.750 0.500 Sc
0.750 0.250 0.500 Rh
```

SG = I-4m2, No. 119
raw total energy = -32.2 eV/cell
density of states at the Fermi level = 2.7 states/eV/cell
volume = 20.27 Å³ per atom
calculated formation energy = -0.90 eV/atom
size of the total moment = 0.000 μB per formula unit

=====

2.
This record from the Alexandria database describes a geometry-optimized DyTm4Sb5 structure. The functional is PBE.

```
DyTm4Sb5
1.0
-2.750 2.526 -2.223
-4.438 -4.185 0.734
0.564 5.664 9.987
Sb Tm Dy
5 4 1
direct
0.800 0.300 0.601 Sb
0.200 0.700 0.399 Sb
0.601 0.101 0.202 Sb
0.399 0.899 0.798 Sb
0.000 0.500 0.000 Sb
0.400 0.400 0.800 Tm
0.600 0.600 0.200 Tm
0.201 0.201 0.401 Tm
0.799 0.799 0.599 Tm
0.000 0.000 0.000 Dy
```

SG = Immm, No. 71
raw total energy = -53.9 eV/cell
density of states at the Fermi level = 1.9 states/eV/cell
volume = 29.01 Å³ per atom
formation energy from raw total energies = -1081 meV/atom
size of the total moment = 0.000 μB per formula unit

=====

3.
This record from the Alexandria database describes a geometry-optimized CaPr2ScS4 structure. The functional is PBE.

```
CaPr2ScS4
1.0
-0.494 3.268 2.150
0.229 -3.742 5.741
6.469 2.042 -1.617
Ca S Pr Sc
1 4 2 1
direct
0.500 0.500 0.000 Ca
0.500 0.233 0.224 S
0.000 0.247 0.770 S
0.000 0.753 0.230 S
0.500 0.767 0.776 S
0.000 0.500 0.500 Pr
0.500 0.000 0.500 Pr
0.000 0.000 0.000 Sc
```

SG = P2/m, No. 10
raw total energy = -50.1 eV/cell
density of states at the Fermi level = 3.6 states/eV/cell
volume = 22.30 Å³ per atom
formation energy from raw total energies = -1967 meV/atom
size of the total moment = 0.000 μB per formula unit

=====

4.
This record from the Alexandria database describes a geometry-optimized KLiH3 structure. The functional is PBE.

```
KLiH3
1.0
4.839 0.000 0.000
0.000 4.839 0.000
0.000 0.000 4.839
H Li K
3 1 1
direct
0.000 0.500 0.000 H
0.500 0.000 0.000 H
0.000 0.000 0.500 H
0.500 0.500 0.500 Li
0.000 0.000 0.000 K
```

SG = Pm-3m, No. 221
raw total energy = -9.6 eV/cell
density of states at the Fermi level = 4.4 states/eV/cell
volume = 22.67 Å³ per atom
energy relative to the lowest polymorph listed for this composition = 2.90 eV per formula unit
size of the total moment = 1.000 μB per formula unit

=====

5.
This record from the Alexandria database describes a geometry-optimized Y2Zn3Cu12Rh structure. The functional is PBE.

```
Y2Zn3Cu12Rh
1.0
-1.255 6.380 -0.270
-0.780 0.148 -6.460
-6.469 -0.689 0.197
Zn Cu Rh Y
3 12 1 2
direct
0.000 0.000 0.500 Zn
0.000 0.500 0.000 Zn
0.500 0.000 0.000 Zn
0.859 0.421 0.421 Cu
0.579 0.579 0.141 Cu
0.421 0.421 0.859 Cu
0.201 0.718 0.201 Cu
0.282 0.799 0.799 Cu
0.799 0.282 0.799 Cu
0.141 0.579 0.579 Cu
0.799 0.799 0.282 Cu
0.579 0.141 0.579 Cu
0.201 0.201 0.718 Cu
0.718 0.201 0.201 Cu
0.421 0.859 0.421 Cu
0.000 0.000 0.000 Rh
0.715 0.715 0.715 Y
0.285 0.285 0.285 Y
```

SG = R-3m, No. 166
raw total energy = -71.9 eV/cell
density of states at the Fermi level = 11.7 states/eV/cell
volume = 15.15 Å³ per atom
calculated formation energy = 0.08 eV/atom
size of the total moment = 0.000 μB per formula unit

=====

6.
This record from the Alexandria database describes a geometry-optimized Na2NdCuO4 structure. The functional is PBE.

```
Na2NdCuO4
1.0
-2.191 4.482 1.143
-0.709 -1.319 -4.894
-2.040 -3.889 2.628
O Na Cu Nd
4 2 1 1
direct
0.001 0.729 0.271 O
0.543 0.272 0.271 O
0.999 0.271 0.728 O
0.457 0.729 0.729 O
0.500 0.750 0.250 Na
0.000 0.000 0.000 Na
0.000 0.500 0.500 Cu
0.500 0.250 0.750 Nd
```

SG = I-4m2, No. 119
raw total energy = -45.2 eV/cell
volume = 12.81 Å³ per atom
formation energy from raw total energies = -1731 meV/atom
size of the total moment = 0.000 μB per formula unit

=====

7.
This record from the Alexandria database describes a geometry-optimized Sr2LaCu structure. The functional is PBE.

```
Sr2LaCu
1.0
7.211 0.012 -0.016
6.158 3.752 -0.016
2.579 0.726 5.466
Cu Sr La
1 2 1
direct
0.510 0.510 0.487 Cu
0.999 0.999 0.002 Sr
0.807 0.807 0.694 Sr
0.184 0.184 0.317 La
```

SG = Cm, No. 8
raw total energy = -12.0 eV/cell
density of states at the Fermi level = 5.4 states/eV/cell
volume = 36.91 Å³ per atom
energy relative to the lowest polymorph listed for this composition = 0.30 eV per formula unit
calculated formation energy = 0.09 eV/atom
size of the total moment = 0.006 μB per formula unit

=====

8.
This record from the Alexandria database describes a geometry-optimized LiAcMnC structure. The functional is PBE.

```
LiAcMnC
1.0
-1.439 -1.959 -2.636
2.430 -2.570 0.584
-7.164 -5.035 7.653
Mn Li Ac C
2 2 2 2
direct
0.250 0.750 0.000 Mn
0.750 0.250 0.000 Mn
0.250 0.750 0.500 Li
0.750 0.250 0.500 Li
0.750 0.750 0.225 Ac
0.250 0.250 0.775 Ac
0.250 0.250 0.078 C
0.750 0.750 0.922 C
```

SG = P4/nmm, No. 129
raw total energy = -48.5 eV/cell
density of states at the Fermi level = 6.2 states/eV/cell
volume = 18.68 Å³ per atom
calculated formation energy = 0.04 eV/atom
size of the total moment = 1.157 μB per formula unit

=====

9.
This record from the Alexandria database describes a geometry-optimized ZrTe2W structure. The functional is PBE.

```
ZrTe2W
1.0
0.000 3.449 3.449
3.449 0.000 3.449
3.449 3.449 0.000
Zr Te W
1 2 1
direct
0.000 0.000 0.000 Zr
0.750 0.750 0.750 Te
0.250 0.250 0.250 Te
0.500 0.500 0.500 W
```

SG = Fm-3m, No. 225
raw total energy = -27.3 eV/cell
density of states at the Fermi level = 4.7 states/eV/cell
volume = 20.51 Å³ per atom
energy relative to the lowest polymorph listed for this composition = 0.99 eV per formula unit
formation energy from raw total energies = 120 meV/atom
size of the total moment = 0.000 μB per formula unit

=====

10.
This record from the Alexandria database describes a geometry-optimized TmBi3Pd12 structure. The functional is PBE.

```
TmBi3Pd12
1.0
-2.078 -3.566 0.082
1.960 -1.221 -3.422
11.904 -6.726 9.218
Bi Pd Tm
3 12 1
direct
0.000 0.000 0.754 Bi
0.000 0.000 0.246 Bi
0.000 0.000 0.500 Bi
0.000 0.500 0.123 Pd
0.000 0.500 0.626 Pd
0.500 0.000 0.877 Pd
0.500 0.000 0.123 Pd
0.000 0.500 0.877 Pd
0.500 0.500 0.252 Pd
0.000 0.500 0.374 Pd
0.500 0.000 0.374 Pd
0.500 0.000 0.626 Pd
0.500 0.500 0.500 Pd
0.500 0.500 0.748 Pd
0.500 0.500 0.000 Pd
0.000 0.000 0.000 Tm
```

SG = P4/mmm, No. 123
raw total energy = -85.0 eV/cell
density of states at the Fermi level = 6.4 states/eV/cell
volume = 17.57 Å³ per atom
calculated formation energy = -0.41 eV/atom
size of the total moment = 0.000 μB per formula unit

=====

11.
This record from the Alexandria database describes a geometry-optimized CrCdSb structure. The functional is PBE.

```
CrCdSb
1.0
3.371 0.000 0.000
-1.686 2.920 0.000
0.000 0.000 6.842
Sb Cd Cr
1 1 1
direct
0.333 0.667 0.634 Sb
0.000 0.000 0.025 Cd
0.667 0.333 0.341 Cr
```

SG = P3m1, No. 156
raw total energy = -13.6 eV/cell
density of states at the Fermi level = 1.8 states/eV/cell
volume = 22.45 Å³ per atom
energy relative to the lowest polymorph listed for this composition = 0.52 eV per formula unit
formation energy from raw total energies = 365 meV/atom
size of the total moment = 3.781 μB per formula unit

=====

12.
This record from the Alexandria database describes a geometry-optimized Pa6TlS12 structure. The functional is PBE.

```
Pa6TlS12
1.0
-3.446 -4.964 -5.383
7.877 -0.088 -1.856
-0.503 -3.934 7.054
Pa S Tl
6 12 1
direct
0.751 0.339 0.751 Pa
0.249 0.661 0.249 Pa
0.339 0.751 0.751 Pa
0.249 0.249 0.661 Pa
0.661 0.249 0.249 Pa
0.751 0.751 0.339 Pa
0.818 0.555 0.555 S
0.870 0.500 0.130 S
0.445 0.182 0.445 S
0.500 0.130 0.870 S
0.870 0.130 0.500 S
0.555 0.555 0.818 S
0.130 0.500 0.870 S
0.182 0.445 0.445 S
0.130 0.870 0.500 S
0.500 0.870 0.130 S
0.445 0.445 0.182 S
0.555 0.818 0.555 S
0.000 0.000 0.000 Tl
```

SG = R-3m, No. 166
raw total energy = -135.6 eV/cell
density of states at the Fermi level = 17.4 states/eV/cell
volume = 24.50 Å³ per atom
formation energy from raw total energies = -1408 meV/atom
size of the total moment = 5.698 μB per formula unit